Density functional theory data (GGA+U) for TiMoPO2 after structural relaxation.

Cell and atoms, written as extended XYZ:
```
5
Lattice="3.7905 0.0000 0.0000 0.0000 3.7905 0.0000 0.0000 0.0000 5.1951" Properties=species:S:1:pos:R:3 pbc="T T T"
P 0.0000 0.0000 2.5975
Mo 1.8952 1.8952 2.5975
O 0.0000 1.8952 0.0000
O 1.8952 0.0000 0.0000
Ti 0.0000 0.0000 0.0000
```

E above lowest polymorph = 0 kJ/mol of formula units
M_tot = 3.0 μB per formula unit